NdDy2Al (PBE, relaxed); distance to the lowest polymorph of the same formula = 0.2732 eV/atom; M_tot = 0.002 μB per cell; DOS at the Fermi energy = 5.62 states/eV/f.u.
1.0
1.7402 1.0047 11.5240
-1.7402 1.0047 11.5240
0.0000 -2.0094 11.5240
Nd Dy Al
1 2 1
Cartesian
0.0000 0.0000 0.0000 Nd
0.0000 0.0000 3.5035 Dy
0.0000 0.0000 31.0686 Dy
0.0000 0.0000 17.2860 Al

GdTc2Mo (PBE, relaxed); total energy = -45.28 eV for the cell shown; M_tot = 6.908 μB per cell; DOS at the Fermi energy = 3.95 states/eV/f.u.
1.0
3.1975 0.0000 0.0000
0.0000 3.1975 0.0000
0.0000 0.0000 6.9550
Gd Tc Mo
1 2 1
Cartesian
0.0000 0.0000 0.0000 Gd
1.5988 1.5988 2.0001 Tc
1.5988 1.5988 4.9549 Tc
0.0000 0.0000 3.4775 Mo

Zr2TcNi (PBE, relaxed); total energy = -33.47 eV for the cell shown; M_tot = 0.000 μB per cell; DOS at the Fermi energy = 4.64 states/eV/f.u.
1.0
3.4491 0.0000 0.0000
0.0000 3.4491 0.0000
0.0000 0.0000 5.9839
Zr Tc Ni
2 1 1
Cartesian
0.0000 0.0000 0.0000 Zr
1.7245 1.7245 2.0592 Zr
1.7245 1.7245 4.7517 Tc
0.0000 0.0000 3.1420 Ni

CeP2RuRh (PBE, relaxed); total energy = -38.60 eV for the cell shown; M_tot = 0.198 μB per cell; DOS at the Fermi energy = 4.54 states/eV/f.u.
1.0
-2.0125 2.0125 4.9464
2.0125 -2.0125 4.9464
2.0125 2.0125 -4.9464
Ce P Ru Rh
1 2 1 1
Cartesian
0.0000 0.0000 0.0000 Ce
0.0000 0.0000 3.7875 P
0.0000 0.0000 6.1052 P
2.0125 0.0000 2.4732 Ru
0.0000 2.0125 2.4732 Rh

CsCaGa2I8 (PBE, relaxed); M_tot = 0.001 μB per cell; E_form (uncorrected) = -10.422 eV/f.u.; DOS at the Fermi energy = 7.53 states/eV/f.u.
1.0
3.7899 2.1881 11.0432
-3.7899 2.1881 11.0432
0.0000 -4.3762 11.0432
Cs Ca Ga I
1 1 2 8
Cartesian
0.0000 0.0000 0.0000 Cs
0.0000 0.0000 16.5648 Ca
0.0000 0.0000 8.1888 Ga
0.0000 0.0000 24.9407 Ga
-1.1885 -2.2524 14.6863 I
-2.5449 -0.0970 18.4433 I
0.0000 0.0000 10.8233 I
-1.3564 2.1555 14.6863 I
1.3564 -2.1555 18.4433 I
0.0000 0.0000 22.3062 I
2.5449 0.0970 14.6863 I
1.1885 2.2524 18.4433 I

Cr2CdB2 (PBE, relaxed); distance to the lowest polymorph of the same formula = 0.1281 eV/atom; M_tot = 0.000 μB per cell; DOS at the Fermi energy = 5.47 states/eV/f.u.
1.0
-1.7307 1.7307 4.6407
1.7307 -1.7307 4.6407
1.7307 1.7307 -4.6407
Cr Cd B
2 1 2
Cartesian
1.7307 0.0000 2.3203 Cr
0.0000 1.7307 2.3203 Cr
0.0000 0.0000 0.0000 Cd
0.0000 0.0000 3.7585 B
0.0000 0.0000 5.5229 B